1.
! meta-GGA SCAN KCa2Nb3O10, single point on PBEsol structure; values from VASP
! Total DFT energy (no corrections)   -14.792 eV/atom
! Fermi-level density of states   0.00 states/eV per atom
! Distance to the lowest polymorph of the same formula   0 meV/atom
&SYSTEM
  ibrav = 0, nat = 64, ntyp = 4
/
ATOMIC_SPECIES
K 39.10 K.upf
Ca 40.08 Ca.upf
Nb 92.91 Nb.upf
O 16.00 O.upf
ATOMIC_POSITIONS crystal
K 0.128 0.250 0.006
K 0.366 0.750 0.981
K 0.634 0.250 0.019
K 0.872 0.750 0.994
Ca 0.216 0.250 0.354
Ca 0.217 0.750 0.362
Ca 0.289 0.750 0.654
Ca 0.290 0.250 0.663
Ca 0.710 0.750 0.337
Ca 0.711 0.250 0.346
Ca 0.783 0.250 0.638
Ca 0.784 0.750 0.646
Nb 0.000 0.000 0.500
Nb 0.000 0.500 0.500
Nb 0.067 0.504 0.787
Nb 0.067 0.996 0.787
Nb 0.427 0.004 0.211
Nb 0.427 0.496 0.211
Nb 0.500 0.000 0.500
Nb 0.500 0.500 0.500
Nb 0.573 0.504 0.789
Nb 0.573 0.996 0.789
Nb 0.933 0.004 0.213
Nb 0.933 0.496 0.213
O 0.044 0.750 0.737
O 0.052 0.054 0.629
O 0.052 0.446 0.629
O 0.071 0.750 0.525
O 0.084 0.549 0.906
O 0.084 0.951 0.906
O 0.094 0.250 0.789
O 0.190 0.516 0.253
O 0.190 0.984 0.253
O 0.245 0.056 0.479
O 0.245 0.444 0.479
O 0.315 0.524 0.764
O 0.315 0.976 0.764
O 0.385 0.043 0.092
O 0.385 0.457 0.092
O 0.428 0.250 0.261
O 0.441 0.750 0.525
O 0.453 0.750 0.212
O 0.489 0.553 0.371
O 0.489 0.947 0.371
O 0.511 0.053 0.629
O 0.511 0.447 0.629
O 0.547 0.250 0.788
O 0.559 0.250 0.475
O 0.572 0.750 0.739
O 0.615 0.543 0.908
O 0.615 0.957 0.908
O 0.685 0.024 0.236
O 0.685 0.476 0.236
O 0.755 0.556 0.521
O 0.755 0.944 0.521
O 0.810 0.016 0.747
O 0.810 0.484 0.747
O 0.906 0.750 0.211
O 0.916 0.049 0.094
O 0.916 0.451 0.094
O 0.929 0.250 0.475
O 0.948 0.554 0.371
O 0.948 0.946 0.371
O 0.956 0.250 0.263
CELL_PARAMETERS angstrom
7.785 0.000 0.000
0.000 7.724 0.000
-1.910 0.000 14.733

---

2.
! meta-GGA SCAN PrClO, single point on PBEsol structure; values from VASP
! Total DFT energy (no corrections)   -22.560 eV/atom
! Fermi-level density of states   0.00 states/eV per atom
&SYSTEM
  ibrav = 0, nat = 6, ntyp = 3
/
ATOMIC_SPECIES
Pr 140.91 Pr.upf
Cl 35.45 Cl.upf
O 16.00 O.upf
ATOMIC_POSITIONS crystal
Pr 0.250 0.250 0.177
Pr 0.750 0.750 0.823
Cl 0.250 0.250 0.627
Cl 0.750 0.750 0.373
O 0.250 0.750 0.000
O 0.750 0.250 0.000
CELL_PARAMETERS angstrom
4.045 0.000 0.000
0.000 4.045 0.000
0.000 0.000 6.748

---

3.
! meta-GGA SCAN GaFeSCl2, single point on PBEsol structure; values from VASP
! Total DFT energy (no corrections)   -12.040 eV/atom
! Fermi-level density of states   0.74 states/eV per atom
&SYSTEM
  ibrav = 0, nat = 5, ntyp = 4
/
ATOMIC_SPECIES
Ga 69.72 Ga.upf
Fe 55.84 Fe.upf
S 32.06 S.upf
Cl 35.45 Cl.upf
ATOMIC_POSITIONS crystal
Ga 0.000 0.000 0.000
Fe 0.500 0.500 0.500
S 0.000 0.000 0.500
Cl 0.000 0.500 0.000
Cl 0.500 0.000 0.000
CELL_PARAMETERS angstrom
4.669 0.000 0.000
0.000 4.669 0.000
0.000 0.000 4.763

---

4.
! meta-GGA SCAN MnNb2Pb, single point on PBEsol structure; values from VASP
! Total DFT energy (no corrections)   -39.781 eV/atom
! Fermi-level density of states   1.36 states/eV per atom
&SYSTEM
  ibrav = 0, nat = 4, ntyp = 3
/
ATOMIC_SPECIES
Mn 54.94 Mn.upf
Nb 92.91 Nb.upf
Pb 207.20 Pb.upf
ATOMIC_POSITIONS crystal
Mn 0.000 0.000 0.000
Nb 0.250 0.250 0.250
Nb 0.750 0.750 0.750
Pb 0.500 0.500 0.500
CELL_PARAMETERS angstrom
0.000 3.280 3.280
3.280 0.000 3.280
3.280 3.280 0.000

---

5.
! meta-GGA SCAN HfCoSe3, single point on PBEsol structure; values from VASP
! Total DFT energy (no corrections)   -28.006 eV/atom
! Fermi-level density of states   0.91 states/eV per atom
&SYSTEM
  ibrav = 0, nat = 5, ntyp = 3
/
ATOMIC_SPECIES
Hf 178.49 Hf.upf
Co 58.93 Co.upf
Se 78.96 Se.upf
ATOMIC_POSITIONS crystal
Hf 0.000 0.000 0.000
Co 0.500 0.500 0.500
Se 0.000 0.000 0.500
Se 0.000 0.500 0.000
Se 0.500 0.000 0.000
CELL_PARAMETERS angstrom
5.068 0.000 0.000
0.000 5.068 0.000
0.000 0.000 5.068

---

6.
! meta-GGA SCAN Sb2MoSe, single point on PBEsol structure; values from VASP
! Total DFT energy (no corrections)   -32.131 eV/atom
! Fermi-level density of states   0.57 states/eV per atom
&SYSTEM
  ibrav = 0, nat = 4, ntyp = 3
/
ATOMIC_SPECIES
Sb 121.76 Sb.upf
Mo 95.94 Mo.upf
Se 78.96 Se.upf
ATOMIC_POSITIONS crystal
Sb 0.000 0.000 0.223
Sb 0.000 0.000 0.777
Mo 0.500 0.500 0.000
Se 0.500 0.500 0.500
CELL_PARAMETERS angstrom
3.406 0.000 0.000
0.000 3.406 0.000
0.000 0.000 6.914

---

7.
! meta-GGA SCAN AlSiHg, single point on PBEsol structure; values from VASP
! Total DFT energy (no corrections)   -28.238 eV/atom
! Fermi-level density of states   0.40 states/eV per atom
! Distance to the lowest polymorph of the same formula   0 meV/atom
&SYSTEM
  ibrav = 0, nat = 3, ntyp = 3
/
ATOMIC_SPECIES
Al 26.98 Al.upf
Si 28.09 Si.upf
Hg 200.59 Hg.upf
ATOMIC_POSITIONS crystal
Al 0.000 0.000 0.000
Si 0.360 0.360 0.000
Hg 0.677 0.677 0.000
CELL_PARAMETERS angstrom
-1.524 1.524 5.818
1.524 -1.524 5.818
1.524 1.524 -5.818

---

8.
! meta-GGA SCAN FeCo2Si, single point on PBEsol structure; values from VASP
! Total DFT energy (no corrections)   -15.876 eV/atom
! Fermi-level density of states   0.59 states/eV per atom
&SYSTEM
  ibrav = 0, nat = 4, ntyp = 3
/
ATOMIC_SPECIES
Fe 55.84 Fe.upf
Co 58.93 Co.upf
Si 28.09 Si.upf
ATOMIC_POSITIONS crystal
Fe 0.000 0.000 0.000
Co 0.000 0.000 0.475
Co 0.500 0.500 0.742
Si 0.500 0.500 0.241
CELL_PARAMETERS angstrom
2.682 0.000 0.000
0.000 2.682 0.000
0.000 0.000 5.770